Record 1
A plane-wave DFT calculation with SCAN was carried out for a crystal of Li2CrRh relaxed with PBEsol.

a b c (Å): 2.709 4.531 4.405
angles (deg): 90.00 94.79 90.00
Sites, in units of the cell vectors:
1 Li 0.245 0.000 0.265
2 Li 0.755 0.000 0.735
3 Cr 0.500 0.500 0.000
4 Rh 0.000 0.500 0.500

Summary:
* crystal system: monoclinic
* formation enthalpy at 0 K: -13.0 meV/atom
* polymorph energy (0 for the lowest one): 0 meV/atom
* symmetry: P2/m



Record 2
A plane-wave DFT calculation with SCAN was carried out for a crystal of Li2CrRh relaxed with PBEsol.

a b c (Å): 4.069 4.069 4.069
angles (deg): 60.00 60.00 60.00
Sites, in units of the cell vectors:
1 Li 0.000 0.000 0.000
2 Li 0.250 0.250 0.250
3 Cr 0.750 0.750 0.750
4 Rh 0.500 0.500 0.500

Summary:
* crystal system: cubic
* formation enthalpy at 0 K: 25.1 meV/atom
* polymorph energy (0 for the lowest one): 38 meV/atom
* symmetry: F-43m



Record 3
A plane-wave DFT calculation with SCAN was carried out for a crystal of LiCrS2 relaxed with PBEsol.

a b c (Å): 3.455 3.455 5.883
angles (deg): 90.00 90.00 120.00
Sites, in units of the cell vectors:
1 Li 0.000 0.000 0.000
2 Cr 0.000 0.000 0.500
3 S 0.333 0.667 0.722
4 S 0.667 0.333 0.278

Summary:
* crystal system: trigonal
* symmetry: P-3m1
* formation energy (no corrections): -1.35 eV per atom



Record 4
A plane-wave DFT calculation with SCAN was carried out for a crystal of LiCr2S4 relaxed with PBEsol.

a b c (Å): 6.824 6.824 5.513
angles (deg): 109.58 109.58 25.56
Sites, in units of the cell vectors:
1 Li 0.000 0.000 0.000
2 Cr 0.255 0.255 0.307
3 Cr 0.745 0.745 0.693
4 S 0.124 0.124 0.467
5 S 0.347 0.347 0.008
6 S 0.653 0.653 0.992
7 S 0.876 0.876 0.533

Summary:
* crystal system: monoclinic
* symmetry: C2/m
* formation energy (no corrections): -0.85 eV per atom



Number 1: total moment 3.60 Bohr magnetons per cell, density 5.20 g/cm³. Number 2: total moment 3.08 Bohr magnetons per cell, density 5.88 g/cm³. Number 3: total moment 3.00 Bohr magnetons per cell, density 3.36 g/cm³. Number 4: total moment 0.00 Bohr magnetons per cell, density 3.82 g/cm³.